# PBE Nd6InFe13, optimized geometry
# Mass density = 7421 kg/m3
# Energy relative to the elements = -96 kJ/mol of formula units
# DOS(E_F) = 0.99 states/eV/atom
# Total magnetic moment = 26.2 μB per formula unit
# Total DFT energy (no corrections) = -569.408 eV for the cell shown
# V = 19.1 Å³ per atom
data_Nd6InFe13
_chemical_formula_sum 'Nd24 In4 Fe52'
_space_group_name_H-M_alt 'I 4/m c m'
_space_group_IT_number 140
_space_group_name_Hall '-I 4 2c'
_cell_length_a 8.053
_cell_length_b 8.053
_cell_length_c 23.548
_cell_angle_alpha 90.00
_cell_angle_beta 90.00
_cell_angle_gamma 90.00
loop_
_atom_site_label
_atom_site_fract_x
_atom_site_fract_y
_atom_site_fract_z
Nd1 0.000 0.000 0.104
Nd2 0.164 0.336 0.184
In1 0.000 0.000 0.250
Fe1 0.000 0.500 0.000
Fe2 0.066 0.210 0.500
Fe3 0.113 0.387 0.407
Fe4 0.179 0.321 0.058